# 1
Entry from Alexandria via LeMat-Bulk: a geometry-optimized Er3Co3Si8 structure (PBE-GGA).

E_form (uncorrected): -528.7 meV/atom
Energy relative to the lowest polymorph listed for this composition: 0 meV/atom
M_tot: 0.8 Bohr magnetons per cell

a b c (Å): 4.028 7.594 7.594
angles (deg): 76.44 74.62 74.62
Last column: magnetic moment on the atom in μB.
Element x y z (fractional)
Er 0.500 0.500 0.500  0.02
Er 0.818 0.182 0.182  0.02
Er 0.182 0.818 0.818  0.02
Co 0.500 0.000 0.000  0.47
Co 0.000 0.774 0.226  0.12
Co 0.000 0.226 0.774  0.12
Si 0.617 0.090 0.676  0.01
Si 0.383 0.910 0.324  0.01
Si 0.617 0.676 0.090  0.01
Si 0.383 0.324 0.910  0.01
Si 0.836 0.797 0.531  0.00
Si 0.164 0.203 0.469  0.00
Si 0.836 0.531 0.797  0.00
Si 0.164 0.469 0.203  0.00

# 2
Entry from Alexandria via LeMat-Bulk: a geometry-optimized Er4CoSi3 structure (PBE-GGA).

E_form (uncorrected): -675.9 meV/atom
M_tot: 0.0 Bohr magnetons per cell

a b c (Å): 4.174 3.796 10.486
angles (deg): 90.00 90.00 90.00
Element x y z (fractional)
Er 0.500 0.500 0.352
Er 0.000 0.500 0.861
Er 0.000 0.000 0.137
Er 0.500 0.000 0.644
Co 0.500 0.500 0.069
Si 0.000 0.500 0.576
Si 0.000 0.000 0.429
Si 0.500 0.000 0.932

# 3
Entry from Alexandria via LeMat-Bulk: a geometry-optimized Er12Co6Si structure (PBE-GGA).

E_form (uncorrected): -271.8 meV/atom
M_tot: 0.0 Bohr magnetons per cell

a b c (Å): 8.210 8.210 8.210
angles (deg): 109.47 109.47 109.47
Element x y z (fractional)
Er 0.299 0.105 0.806
Er 0.299 0.493 0.194
Er 0.701 0.507 0.806
Er 0.701 0.895 0.194
Er 0.105 0.806 0.299
Er 0.493 0.194 0.299
Er 0.507 0.806 0.701
Er 0.895 0.194 0.701
Er 0.806 0.299 0.105
Er 0.194 0.299 0.493
Er 0.806 0.701 0.507
Er 0.194 0.701 0.895
Co 0.385 0.500 0.885
Co 0.615 0.500 0.115
Co 0.500 0.885 0.385
Co 0.500 0.115 0.615
Co 0.885 0.385 0.500
Co 0.115 0.615 0.500
Si 0.000 0.000 0.000

# 4
Entry from Alexandria via LeMat-Bulk: a geometry-optimized ErCoSi2Tc structure (PBE-GGA).

E_form (uncorrected): -714.1 meV/atom
M_tot: 0.0 Bohr magnetons per cell

a b c (Å): 4.071 4.071 5.607
angles (deg): 111.28 111.28 90.00
Element x y z (fractional)
Er 0.000 0.000 0.000
Co 0.250 0.750 0.500
Si 0.629 0.629 0.258
Si 0.371 0.371 0.742
Tc 0.750 0.250 0.500

# 5
Entry from Alexandria via LeMat-Bulk: a geometry-optimized ErCoSi3Tc structure (PBE-GGA).

E_form (uncorrected): -346.3 meV/atom
M_tot: 0.0 Bohr magnetons per cell

a b c (Å): 5.394 7.402 6.497
angles (deg): 124.73 90.00 90.00
Element x y z (fractional)
Er 0.750 0.243 0.487
Er 0.250 0.757 0.513
Co 0.250 0.036 0.072
Co 0.750 0.964 0.928
Si 0.250 0.231 0.463
Si 0.000 0.242 0.000
Si 0.500 0.758 0.000
Si 0.500 0.242 0.000
Si 0.000 0.758 0.000
Si 0.750 0.769 0.537
Tc 0.250 0.441 0.881
Tc 0.750 0.559 0.119

# 6
Entry from Alexandria via LeMat-Bulk: a geometry-optimized Er2ZnCo5Si2 structure (PBE-GGA).

E_form (uncorrected): -403.8 meV/atom
M_tot: 0.0 Bohr magnetons per cell

a b c (Å): 3.255 9.346 9.346
angles (deg): 90.00 90.00 90.00
Element x y z (fractional)
Er 0.000 0.676 0.176
Er 0.000 0.324 0.824
Er 0.000 0.176 0.324
Er 0.000 0.824 0.676
Zn 0.000 0.000 0.000
Zn 0.000 0.500 0.500
Co 0.500 0.215 0.065
Co 0.500 0.785 0.935
Co 0.500 0.065 0.785
Co 0.500 0.715 0.435
Co 0.500 0.935 0.215
Co 0.500 0.285 0.565
Co 0.500 0.565 0.715
Co 0.500 0.435 0.285
Co 0.500 0.500 0.000
Co 0.500 0.000 0.500
Si 0.000 0.121 0.621
Si 0.000 0.879 0.379
Si 0.000 0.621 0.879
Si 0.000 0.379 0.121

# 7
Entry from Alexandria via LeMat-Bulk: a geometry-optimized Sm8ErCo2 structure (PBE-GGA).

M_tot: 0.0 Bohr magnetons per cell
Energy of formation from the pure elements: 0.079 eV per atom

a b c (Å): 7.287 7.394 7.394
angles (deg): 67.94 107.74 107.74
Element x y z (fractional)
Sm 0.317 0.413 0.807
Sm 0.683 0.193 0.587
Sm 0.310 0.872 0.872
Sm 0.690 0.128 0.128
Sm 0.317 0.807 0.413
Sm 0.683 0.587 0.193
Sm 0.818 0.678 0.678
Sm 0.182 0.322 0.322
Er 0.000 0.000 0.000
Co 0.610 0.813 0.813
Co 0.390 0.187 0.187

# 8
Entry from Alexandria via LeMat-Bulk: a geometry-optimized Sm2Er5Co4 structure (PBE-GGA).

M_tot: 0.0 Bohr magnetons per cell
Energy of formation from the pure elements: 0.026 eV per atom

a b c (Å): 6.478 6.823 7.674
angles (deg): 75.02 65.04 61.66
Element x y z (fractional)
Sm 0.281 0.814 0.625
Sm 0.719 0.186 0.375
Er 0.187 0.251 0.893
Er 0.813 0.749 0.107
Er 0.000 0.500 0.500
Er 0.670 0.251 0.893
Er 0.330 0.749 0.107
Co 0.327 0.059 0.287
Co 0.673 0.941 0.713
Co 0.782 0.592 0.844
Co 0.218 0.408 0.156

# 9
Entry from Alexandria via LeMat-Bulk: a geometry-optimized Sm3ErCo structure (PBE-GGA).

Energy relative to the lowest polymorph listed for this composition: 166 meV/atom
M_tot: 0.6 Bohr magnetons per cell
Energy of formation from the pure elements: 0.084 eV per atom

a b c (Å): 5.366 5.366 5.366
angles (deg): 90.00 90.00 90.00
Last column: magnetic moment on the atom in μB.
Element x y z (fractional)
Co 0.000 0.000 0.000  0.05
Sm 0.000 0.500 0.000  0.05
Sm 0.000 0.000 0.500  0.05
Sm 0.500 0.000 0.000  0.05
Er 0.500 0.500 0.500  0.17

# 10
Entry from Alexandria via LeMat-Bulk: a geometry-optimized SmEr6Co2 structure (PBE-GGA).

M_tot: 0.0 Bohr magnetons per cell
Energy of formation from the pure elements: -0.069 eV per atom

a b c (Å): 8.445 8.445 8.445
angles (deg): 107.38 109.11 111.96
Element x y z (fractional)
Sm 0.000 0.500 0.500
Sm 0.000 0.000 0.000
Er 0.475 0.288 0.186
Er 0.525 0.712 0.814
Er 0.898 0.712 0.186
Er 0.102 0.288 0.814
Er 0.218 0.760 0.978
Er 0.782 0.240 0.022
Er 0.782 0.760 0.542
Er 0.218 0.240 0.458
Er 0.315 0.996 0.681
Er 0.685 0.004 0.319
Er 0.685 0.366 0.681
Er 0.315 0.634 0.319
Co 0.500 0.387 0.887
Co 0.500 0.613 0.113
Co 0.317 0.000 0.317
Co 0.683 0.000 0.683

# 11
Entry from Alexandria via LeMat-Bulk: a geometry-optimized SmEr12Co6 structure (PBE-GGA).

M_tot: 0.0 Bohr magnetons per cell
Energy of formation from the pure elements: -0.154 eV per atom

a b c (Å): 8.389 8.389 8.389
angles (deg): 109.47 109.47 109.47
Element x y z (fractional)
Sm 0.000 0.000 0.000
Er 0.309 0.115 0.806
Er 0.309 0.502 0.194
Er 0.691 0.498 0.806
Er 0.691 0.885 0.194
Er 0.115 0.806 0.309
Er 0.502 0.194 0.309
Er 0.498 0.806 0.691
Er 0.885 0.194 0.691
Er 0.806 0.309 0.115
Er 0.194 0.309 0.502
Er 0.806 0.691 0.498
Er 0.194 0.691 0.885
Co 0.386 0.500 0.886
Co 0.614 0.500 0.114
Co 0.500 0.886 0.386
Co 0.500 0.114 0.614
Co 0.886 0.386 0.500
Co 0.114 0.614 0.500

# 12
Entry from Alexandria via LeMat-Bulk: a geometry-optimized Sm2Er5Co2 structure (PBE-GGA).

M_tot: 0.0 Bohr magnetons per cell
Energy of formation from the pure elements: -0.090 eV per atom

a b c (Å): 7.002 6.968 10.413
angles (deg): 90.00 70.36 90.00
Element x y z (fractional)
Sm 0.231 0.000 0.538
Sm 0.731 0.500 0.538
Sm 0.769 0.000 0.462
Sm 0.269 0.500 0.462
Er 0.000 0.000 0.000
Er 0.500 0.500 0.000
Er 0.424 0.177 0.791
Er 0.785 0.823 0.791
Er 0.285 0.677 0.791
Er 0.924 0.323 0.791
Er 0.576 0.823 0.209
Er 0.215 0.177 0.209
Er 0.715 0.323 0.209
Er 0.076 0.677 0.209
Co 0.114 0.389 0.000
Co 0.886 0.611 0.000
Co 0.386 0.889 0.000
Co 0.614 0.111 0.000

# 13
Entry from Alexandria via LeMat-Bulk: a geometry-optimized Sm3ErCo structure (PBE-GGA).

Energy relative to the lowest polymorph listed for this composition: 48 meV/atom
M_tot: 0.0 Bohr magnetons per cell
Energy of formation from the pure elements: -0.035 eV per atom

a b c (Å): 7.303 7.316 7.304
angles (deg): 100.58 119.03 109.31
Element x y z (fractional)
Sm 0.032 0.247 0.717
Sm 0.031 0.817 0.283
Sm 0.531 0.747 0.715
Sm 0.009 0.282 0.229
Sm 0.532 0.317 0.284
Sm 0.054 0.781 0.771
Er 0.504 0.782 0.222
Er 0.560 0.281 0.778
Co 0.531 0.032 0.000
Co 0.032 0.532 0.000

# 14
Entry from Alexandria via LeMat-Bulk: a geometry-optimized Sm2Er2Co structure (PBE-GGA).

M_tot: 0.0 Bohr magnetons per cell
Energy of formation from the pure elements: -0.062 eV per atom

a b c (Å): 6.926 6.926 7.924
angles (deg): 108.29 108.29 114.63
Element x y z (fractional)
Sm 0.010 0.555 0.246
Sm 0.990 0.445 0.754
Sm 0.555 0.010 0.246
Sm 0.445 0.990 0.754
Er 0.847 0.847 0.617
Er 0.641 0.641 0.896
Er 0.359 0.359 0.104
Er 0.153 0.153 0.383
Co 0.885 0.115 0.000
Co 0.115 0.885 0.000

# 15
Entry from Alexandria via LeMat-Bulk: a geometry-optimized SmErCo2 structure (PBE-GGA).

Energy relative to the lowest polymorph listed for this composition: 73 meV/atom
M_tot: 0.7 Bohr magnetons per cell
Energy of formation from the pure elements: -0.097 eV per atom

a b c (Å): 4.754 4.754 4.754
angles (deg): 60.00 60.00 60.00
Last column: magnetic moment on the atom in μB.
Element x y z (fractional)
Co 0.250 0.250 0.250  0.62
Co 0.750 0.750 0.750  0.62
Sm 0.000 0.000 0.000  -0.15
Er 0.500 0.500 0.500  -0.24

# 16
Entry from Alexandria via LeMat-Bulk: a geometry-optimized Sm3ErCo structure (PBE-GGA).

Energy relative to the lowest polymorph listed for this composition: 0 meV/atom
M_tot: 0.0 Bohr magnetons per cell
Energy of formation from the pure elements: -0.082 eV per atom

a b c (Å): 8.263 7.209 7.209
angles (deg): 71.89 55.39 55.39
Element x y z (fractional)
Sm 0.290 0.954 0.548
Sm 0.290 0.548 0.954
Sm 0.710 0.452 0.046
Sm 0.162 0.546 0.546
Sm 0.710 0.046 0.452
Sm 0.838 0.454 0.454
Er 0.747 0.954 0.954
Er 0.253 0.046 0.046
Co 0.366 0.248 0.248
Co 0.634 0.752 0.752

# 17
Entry from Alexandria via LeMat-Bulk: a geometry-optimized SmEr3Co2 structure (PBE-GGA).

Energy relative to the lowest polymorph listed for this composition: 0 meV/atom
M_tot: 0.0 Bohr magnetons per cell
Energy of formation from the pure elements: -0.151 eV per atom

a b c (Å): 3.732 8.385 9.893
angles (deg): 78.62 79.13 77.14
Element x y z (fractional)
Sm 0.844 0.568 0.744
Sm 0.156 0.432 0.256
Er 0.158 0.932 0.752
Er 0.842 0.068 0.248
Er 0.416 0.222 0.946
Er 0.584 0.778 0.054
Er 0.585 0.266 0.563
Er 0.415 0.734 0.437
Co 0.235 0.580 0.950
Co 0.765 0.420 0.050
Co 0.767 0.919 0.547
Co 0.233 0.081 0.453

# 18
Entry from Alexandria via LeMat-Bulk: a geometry-optimized SmEr3Co2 structure (PBE-GGA).

Energy relative to the lowest polymorph listed for this composition: 61 meV/atom
M_tot: 0.0 Bohr magnetons per cell
Energy of formation from the pure elements: -0.091 eV per atom

a b c (Å): 3.972 8.241 9.974
angles (deg): 76.44 78.51 76.06
Element x y z (fractional)
Sm 0.437 0.433 0.693
Sm 0.563 0.567 0.307
Er 0.065 0.058 0.811
Er 0.935 0.942 0.189
Er 0.692 0.681 0.935
Er 0.308 0.319 0.065
Er 0.811 0.820 0.557
Er 0.189 0.180 0.443
Co 0.876 0.364 0.884
Co 0.124 0.636 0.116
Co 0.626 0.120 0.628
Co 0.374 0.880 0.372

# 19
Entry from Alexandria via LeMat-Bulk: a geometry-optimized SmErCo10 structure (PBE-GGA).

M_tot: 14.3 Bohr magnetons per cell
Energy of formation from the pure elements: -0.095 eV per atom

a b c (Å): 3.946 4.930 8.562
angles (deg): 90.00 90.00 90.00
Last column: magnetic moment on the atom in μB.
Element x y z (fractional)
Sm 0.000 0.000 0.000  -0.24
Er 0.000 0.500 0.500  -0.38
Co 0.000 0.000 0.338  1.53
Co 0.000 0.500 0.827  1.50
Co 0.000 0.500 0.173  1.50
Co 0.000 0.000 0.662  1.53
Co 0.500 0.000 0.500  1.56
Co 0.500 0.500 0.000  1.53
Co 0.500 0.252 0.253  1.54
Co 0.500 0.748 0.747  1.54
Co 0.500 0.748 0.253  1.54
Co 0.500 0.252 0.747  1.54

# 20
Entry from Alexandria via LeMat-Bulk: a geometry-optimized Sm12ErCo6 structure (PBE-GGA).

M_tot: 0.0 Bohr magnetons per cell
Energy of formation from the pure elements: -0.074 eV per atom

a b c (Å): 8.627 8.627 8.627
angles (deg): 109.47 109.47 109.47
Element x y z (fractional)
Sm 0.309 0.115 0.805
Sm 0.309 0.504 0.195
Sm 0.691 0.496 0.805
Sm 0.691 0.885 0.195
Sm 0.115 0.805 0.309
Sm 0.504 0.195 0.309
Sm 0.496 0.805 0.691
Sm 0.885 0.195 0.691
Sm 0.805 0.309 0.115
Sm 0.195 0.309 0.504
Sm 0.805 0.691 0.496
Sm 0.195 0.691 0.885
Er 0.000 0.000 0.000
Co 0.388 0.500 0.888
Co 0.612 0.500 0.112
Co 0.500 0.888 0.388
Co 0.500 0.112 0.612
Co 0.888 0.388 0.500
Co 0.112 0.612 0.500